Ba3Ge5S12 after structural relaxation. Source: the Alexandria database, functional GGA-PBE. Values from VASP.

Its formation energy from raw total energies is -787 meV per atom. The final energy comes out at -4.707 eV/atom. Its density of states at the Fermi level is 38.38 states/eV per cell. The space group is Ia-3d.

Cell and atoms, written as Quantum ESPRESSO input:
```
&SYSTEM
  ibrav = 0, nat = 80, ntyp = 3
/
ATOMIC_SPECIES
Ba 137.33 Ba.upf
Ge 72.64 Ge.upf
S 32.06 S.upf
CELL_PARAMETERS angstrom
-13.0856 2.8260 3.4563
3.1232 -12.8849 3.9231
8.4651 8.9211 6.3183
ATOMIC_POSITIONS angstrom
Ba -7.5848 -1.5972 4.8532
Ba -8.0494 -6.0757 6.7564
Ba 2.7260 -3.0282 8.1874
Ba 0.2934 2.4413 3.7238
Ba -8.9432 3.0924 5.0943
Ba -0.8388 -4.7630 5.3277
Ba -0.6585 3.6253 8.3701
Ba 7.4459 -4.2302 8.6035
Ba -1.7907 -3.5790 9.9739
Ba -4.2233 1.8905 5.5103
Ba 6.5521 4.9380 6.9413
Ba 6.0876 0.4594 8.8445
Ge 1.6518 -2.2483 3.4828
Ge 1.5616 -6.4424 1.9616
Ge 0.0000 0.0000 0.0000
Ge -3.0682 -1.0463 3.0667
Ge -2.3102 5.8736 4.8873
Ge -4.9812 -5.0294 3.6897
Ge 3.8811 -5.9650 5.7437
Ge -2.0168 8.3149 8.6111
Ge -4.6878 -2.5881 7.4136
Ge 1.8321 6.1400 6.5252
Ge -3.3294 -7.2777 7.1725
Ge -0.7486 -0.5689 6.8489
Ge -6.5428 1.4130 1.7282
Ge 4.2326 4.4605 3.1591
Ge 3.1905 1.4504 6.2842
Ge 0.5195 -9.4526 5.0866
Ge 5.7941 -1.9819 5.1207
Ge -5.3784 4.8272 7.9540
Ge 1.5709 -0.0914 10.6311
Ge -3.1491 1.1106 10.2150
S -8.7195 0.6686 2.9644
S 0.9304 -2.1628 5.6402
S -9.1654 0.4429 6.8028
S -5.1510 -0.1542 3.2862
S 0.2946 -1.2501 9.1441
S -9.4335 -3.2402 6.9374
S 1.8749 -5.7347 6.7948
S 2.5156 -10.4417 4.6177
S 1.0794 -4.8671 10.2774
S -5.7620 -3.9426 5.9325
S -5.6366 -0.5416 7.1068
S -7.6822 -9.1989 6.4404
S 5.0806 -4.1446 6.3991
S -3.0495 -3.2834 3.4879
S 4.9167 -7.9144 6.3000
S 0.0495 5.0399 5.6340
S 1.1226 -0.3575 2.3308
S -3.3729 -6.6217 4.9930
S -5.2690 -6.7756 8.2534
S 0.6340 -4.0898 2.6136
S 4.7549 -4.4867 10.2410
S -2.4396 -2.5481 7.0576
S -4.9129 -3.3201 9.5574
S -1.7562 6.3481 9.7274
S 0.9424 1.4104 6.6401
S 3.4156 2.1823 4.1404
S 0.2589 -7.4858 3.9703
S 3.7717 5.6378 5.4443
S -6.2522 3.3490 3.4568
S -2.1313 2.9520 11.0842
S 1.8757 5.4840 8.7047
S -1.5467 -6.1777 8.0638
S -2.6198 -0.7803 11.3669
S -6.4140 6.7767 7.3977
S -6.5779 3.0068 7.2986
S 6.1850 8.0611 7.2574
S 1.5523 2.1457 10.2098
S -2.5767 3.7294 3.4203
S 4.2647 2.8049 7.7653
S 4.1393 -0.5961 6.5910
S -4.0128 9.3040 9.0801
S -3.3722 4.5969 6.9030
S 3.6538 -0.9835 10.4116
S 7.9362 2.1025 6.7603
S -1.7919 0.1123 4.5536
S 7.6681 -1.5806 6.8949
S -2.4276 1.0251 8.0575
S 7.2222 -1.8063 10.7333
```